[1]
# ErPaW2N6, optimized geometry, DFT PBE-GGA
# * uncorrected formation energy: -0.9671 eV/atom
data_ErPaW2N6
_chemical_formula_sum 'Er4 Pa4 W8 N24'
_cell_length_a 10.6577
_cell_length_b 9.3772
_cell_length_c 6.0281
_cell_angle_alpha 90.00
_cell_angle_beta 106.82
_cell_angle_gamma 90.00
_symmetry_space_group_name_H-M 'C 1 2/c 1'
_symmetry_Int_Tables_number 15
_symmetry_space_group_name_Hall '-C 2yc'
loop_
_atom_site_label
_atom_site_fract_x
_atom_site_fract_y
_atom_site_fract_z
_atom_site_occupancy
Er1 0.0000 0.0866 0.2500 1
Pa1 0.0000 0.3145 0.7500 1
W1 0.2038 0.4032 0.2652 1
N1 0.1123 0.1155 0.6481 1
N2 0.1223 0.2417 0.1127 1
N3 0.1351 0.4651 0.5138 1

=====

[2]
# AlTlO2, optimized geometry, DFT PBE-GGA
# * uncorrected formation energy: -2.0708 eV/atom
# * excess energy over the best structure of this formula in the dataset: 0.0584 eV per atom
data_AlTlO2
_chemical_formula_sum 'Al16 Tl16 O32'
_cell_length_a 8.6444
_cell_length_b 8.6500
_cell_length_c 14.7253
_cell_angle_alpha 90.00
_cell_angle_beta 102.96
_cell_angle_gamma 90.00
_symmetry_space_group_name_H-M 'C 1 2/c 1'
_symmetry_Int_Tables_number 15
_symmetry_space_group_name_Hall '-C 2yc'
loop_
_atom_site_label
_atom_site_fract_x
_atom_site_fract_y
_atom_site_fract_z
_atom_site_occupancy
Al1 0.0901 0.1334 0.1738 1
Al2 0.1572 0.3838 0.3166 1
Tl1 0.0572 0.2446 0.8613 1
Tl2 0.2117 0.4464 0.5451 1
O1 0.0000 0.0220 0.2500 1
O2 0.0000 0.4970 0.2500 1
O3 0.0717 0.2539 0.3904 1
O4 0.1950 0.0046 0.1144 1
O5 0.2334 0.2616 0.2401 1

=====

[3]
PmBiH6Rh2: optimized geometry, PBE-GGA.

CIF file:
```
data_PmBiH6Rh2
_chemical_formula_sum 'Pm4 Bi4 H24 Rh8'
_cell_length_a 7.9940
_cell_length_b 9.6868
_cell_length_c 5.9007
_cell_angle_alpha 90.00
_cell_angle_beta 105.06
_cell_angle_gamma 90.00
_symmetry_space_group_name_H-M 'C 1 2/c 1'
_symmetry_Int_Tables_number 15
_symmetry_space_group_name_Hall '-C 2yc'
loop_
_atom_site_label
_atom_site_fract_x
_atom_site_fract_y
_atom_site_fract_z
_atom_site_occupancy
Pm1 0.0000 0.1517 0.2500 1
Bi1 0.0000 0.3699 0.7500 1
H1 0.0951 0.3815 0.1666 1
H2 0.1735 0.0034 0.0478 1
H3 0.2068 0.2373 0.6063 1
Rh1 0.1937 0.1227 0.8092 1
```

=====

[4]
# MnIn2Pb, optimized geometry, DFT PBE-GGA
# * ΔE_f: 0.28 eV/atom
data_MnIn2Pb
_chemical_formula_sum 'Mn1 In2 Pb1'
_cell_length_a 4.4616
_cell_length_b 4.4616
_cell_length_c 4.8743
_cell_angle_alpha 90.00
_cell_angle_beta 90.00
_cell_angle_gamma 90.00
_symmetry_space_group_name_H-M 'P 4/m m m'
_symmetry_Int_Tables_number 123
_symmetry_space_group_name_Hall '-P 4 2'
loop_
_atom_site_label
_atom_site_fract_x
_atom_site_fract_y
_atom_site_fract_z
_atom_site_occupancy
Mn1 0.0000 0.0000 0.0000 1
In1 0.0000 0.5000 0.5000 1
Pb1 0.5000 0.5000 0.0000 1

=====

Calculated total energy
In order: -9.96, -6.08, -4.57, -4.30
Unit: eV/atom